Record 1
# ErTh3O GGA-PBE optimized geometry
# - SG: Pm-3m (221)
# - Volume: 130 Å³ per cell
# - DOS at the Fermi energy: 5.6 states/eV/cell
# - Formation energy from raw total energies: -1.076 eV per atom
# - Total magnetization: 0.00 μB/cell
data_ErTh3O
_chemical_formula_sum 'Er1 Th3 O1'
_cell_length_a 5.072
_cell_length_b 5.072
_cell_length_c 5.072
_cell_angle_alpha 90.00
_cell_angle_beta 90.00
_cell_angle_gamma 90.00
_symmetry_space_group_name_H-M 'P 1'
_symmetry_Int_Tables_number 1
_symmetry_space_group_name_Hall 'P 1'
loop_
_atom_site_label
_atom_site_fract_x
_atom_site_fract_y
_atom_site_fract_z
_atom_site_occupancy
Er1 0.000 0.000 0.000 1
Th1 0.000 0.500 0.500 1
Th2 0.500 0.000 0.500 1
Th3 0.500 0.500 0.000 1
O1 0.500 0.500 0.500 1

=====

Record 2
# ErThO GGA-PBE optimized geometry
# - SG: P3m1 (156)
# - Volume: 66 Å³ per cell
# - DOS at the Fermi energy: 3.6 states/eV/cell
# - Formation energy from raw total energies: -1.651 eV per atom
# - Total magnetization: 0.00 μB/cell
data_ErThO
_chemical_formula_sum 'Er1 Th1 O1'
_cell_length_a 3.640
_cell_length_b 3.640
_cell_length_c 5.778
_cell_angle_alpha 90.00
_cell_angle_beta 90.00
_cell_angle_gamma 120.00
_symmetry_space_group_name_H-M 'P 1'
_symmetry_Int_Tables_number 1
_symmetry_space_group_name_Hall 'P 1'
loop_
_atom_site_label
_atom_site_fract_x
_atom_site_fract_y
_atom_site_fract_z
_atom_site_occupancy
Er1 0.000 0.000 0.000 1
Th1 0.667 0.333 0.532 1
O1 0.333 0.667 0.786 1

=====

Record 3
# Er2TiO5 GGA-PBE optimized geometry
# - SG: Cc (9)
# - Volume: 214 Å³ per cell
# - DOS at the Fermi energy: 0.0 states/eV/cell
# - Formation energy from raw total energies: -3.385 eV per atom
# - Total magnetization: 0.00 μB/cell
# - Excess energy over the best structure of this formula in the dataset: 0.0833 eV per atom
data_Er2TiO5
_chemical_formula_sum 'Er4 Ti2 O10'
_cell_length_a 6.387
_cell_length_b 6.387
_cell_length_c 7.665
_cell_angle_alpha 112.65
_cell_angle_beta 112.65
_cell_angle_gamma 49.13
_symmetry_space_group_name_H-M 'P 1'
_symmetry_Int_Tables_number 1
_symmetry_space_group_name_Hall 'P 1'
loop_
_atom_site_label
_atom_site_fract_x
_atom_site_fract_y
_atom_site_fract_z
_atom_site_occupancy
Er1 0.003 0.997 0.500 1
Er2 0.266 0.283 0.497 1
Er3 0.283 0.266 0.997 1
Er4 0.997 0.003 0.000 1
Ti1 0.615 0.653 0.274 1
Ti2 0.653 0.615 0.774 1
O1 0.030 0.384 0.705 1
O2 0.250 0.876 0.791 1
O3 0.325 0.606 0.101 1
O4 0.384 0.030 0.205 1
O5 0.453 0.821 0.489 1
O6 0.606 0.325 0.601 1
O7 0.671 0.940 0.890 1
O8 0.821 0.453 0.989 1
O9 0.876 0.250 0.291 1
O10 0.940 0.671 0.390 1

=====

Record 4
# Er4Ti6O19 GGA-PBE optimized geometry
# - SG: I23 (197)
# - Volume: 359 Å³ per cell
# - DOS at the Fermi energy: 14.7 states/eV/cell
# - Formation energy from raw total energies: -3.000 eV per atom
# - Total magnetization: 2.18 μB/cell
data_Er4Ti6O19
_chemical_formula_sum 'Er4 Ti6 O19'
_cell_length_a 7.755
_cell_length_b 7.755
_cell_length_c 7.755
_cell_angle_alpha 109.47
_cell_angle_beta 109.47
_cell_angle_gamma 109.47
_symmetry_space_group_name_H-M 'P 1'
_symmetry_Int_Tables_number 1
_symmetry_space_group_name_Hall 'P 1'
loop_
_atom_site_label
_atom_site_fract_x
_atom_site_fract_y
_atom_site_fract_z
_atom_site_occupancy
Er1 0.000 0.000 0.705 1
Er2 0.000 0.705 0.000 1
Er3 0.295 0.295 0.295 1
Er4 0.705 0.000 0.000 1
Ti1 0.162 0.662 0.500 1
Ti2 0.338 0.500 0.838 1
Ti3 0.500 0.162 0.662 1
Ti4 0.500 0.838 0.338 1
Ti5 0.662 0.500 0.162 1
Ti6 0.838 0.338 0.500 1
O1 0.000 0.000 0.000 1
O2 0.000 0.351 0.351 1
O3 0.000 0.649 0.649 1
O4 0.036 0.281 0.674 1
O5 0.245 0.964 0.638 1
O6 0.281 0.674 0.036 1
O7 0.326 0.608 0.362 1
O8 0.351 0.000 0.351 1
O9 0.351 0.351 0.000 1
O10 0.362 0.326 0.608 1
O11 0.392 0.719 0.755 1
O12 0.608 0.362 0.326 1
O13 0.638 0.245 0.964 1
O14 0.649 0.000 0.649 1
O15 0.649 0.649 0.000 1
O16 0.674 0.036 0.281 1
O17 0.719 0.755 0.392 1
O18 0.755 0.392 0.719 1
O19 0.964 0.638 0.245 1

=====

Record 5
# ErTiO3 GGA-PBE optimized geometry
# - SG: Pnma (62)
# - Volume: 231 Å³ per cell
# - DOS at the Fermi energy: 6.8 states/eV/cell
# - Formation energy from raw total energies: -3.225 eV per atom
# - Total magnetization: 4.02 μB/cell
data_ErTiO3
_chemical_formula_sum 'Er4 Ti4 O12'
_cell_length_a 5.688
_cell_length_b 7.652
_cell_length_c 5.300
_cell_angle_alpha 90.00
_cell_angle_beta 90.00
_cell_angle_gamma 90.00
_symmetry_space_group_name_H-M 'P 1'
_symmetry_Int_Tables_number 1
_symmetry_space_group_name_Hall 'P 1'
loop_
_atom_site_label
_atom_site_fract_x
_atom_site_fract_y
_atom_site_fract_z
_atom_site_occupancy
Er1 0.073 0.250 0.023 1
Er2 0.427 0.750 0.523 1
Er3 0.573 0.250 0.477 1
Er4 0.927 0.750 0.977 1
Ti1 0.000 0.000 0.500 1
Ti2 0.000 0.500 0.500 1
Ti3 0.500 0.000 0.000 1
Ti4 0.500 0.500 0.000 1
O1 0.050 0.750 0.373 1
O2 0.196 0.561 0.812 1
O3 0.196 0.939 0.812 1
O4 0.304 0.061 0.312 1
O5 0.304 0.439 0.312 1
O6 0.450 0.250 0.873 1
O7 0.550 0.750 0.127 1
O8 0.696 0.561 0.688 1
O9 0.696 0.939 0.688 1
O10 0.804 0.061 0.188 1
O11 0.804 0.439 0.188 1
O12 0.950 0.250 0.627 1

=====

Record 6
# ErTiO2 GGA-PBE optimized geometry
# - SG: R-3m (166)
# - Volume: 58 Å³ per cell
# - DOS at the Fermi energy: 2.0 states/eV/cell
# - Formation energy from raw total energies: -2.356 eV per atom
# - Total magnetization: 1.01 μB/cell
data_ErTiO2
_chemical_formula_sum 'Er1 Ti1 O2'
_cell_length_a 6.540
_cell_length_b 6.540
_cell_length_c 6.540
_cell_angle_alpha 29.05
_cell_angle_beta 29.05
_cell_angle_gamma 29.05
_symmetry_space_group_name_H-M 'P 1'
_symmetry_Int_Tables_number 1
_symmetry_space_group_name_Hall 'P 1'
loop_
_atom_site_label
_atom_site_fract_x
_atom_site_fract_y
_atom_site_fract_z
_atom_site_occupancy
Er1 0.000 0.000 0.000 1
Ti1 0.500 0.500 0.500 1
O1 0.117 0.117 0.117 1
O2 0.883 0.883 0.883 1

=====

volume of number 6 (ErTiO2)? 58 Å³ per cell

=====

Among the records above, which one has the highest volume? Er4Ti6O19